(1)
Below is an optimized crystal structure of La5Tl2Co2, with properties calculated at the PBE level.

The calculation puts the energy of formation from the pure elements at -9.3 kJ per mole of atoms.

The structure belongs to space group Ima2 (No. 46); the cell edges are 21.9265, 7.3118 and 7.1473 Å and the angles 90.00°, 90.00° and 90.00°. The distinct sites, in fractional coordinates, are La at (0.0010, 0.2468, 0.0000), La at (0.1401, 0.5046, 0.7475), La at (0.2500, 0.0900, 0.7276), Tl at (0.1051, 0.5036, 0.2476), Co at (0.0000, 0.0000, 0.2548) and Co at (0.2500, 0.0673, 0.1699).


(2)
Below is an optimized crystal structure of La12Tl3Co5, with properties calculated at the PBE level.

The calculation puts the energy of formation from the pure elements at -4.0 kJ per mole of atoms.

The structure belongs to space group Ia-3d (No. 230); the cell edges are 17.3170, 17.3170 and 17.3170 Å and the angles 90.00°, 90.00° and 90.00°. The distinct sites, in fractional coordinates, are La at (0.0304, 0.0535, 0.6493), Tl at (0.0000, 0.2500, 0.1250), Co at (0.0000, 0.0000, 0.0000) and Co at (0.0000, 0.2500, 0.3750).


(3)
Below is an optimized crystal structure of La7Tl3Co2, with properties calculated at the PBE level.

The calculation puts the energy of formation from the pure elements at -25.9 kJ per mole of atoms.

The structure belongs to space group Cmmm (No. 65); the cell edges are 5.2669, 26.0940 and 5.2897 Å and the angles 90.00°, 90.00° and 90.00°. The distinct sites, in fractional coordinates, are La at (0.0000, 0.0000, 0.0000), La at (0.0000, 0.0976, 0.5000), La at (0.0000, 0.2099, 0.0000), La at (0.0000, 0.3967, 0.0000), Tl at (0.0000, 0.2987, 0.5000), Tl at (0.0000, 0.5000, 0.5000) and Co at (0.0000, 0.1034, 0.0000).


(4)
Below is an optimized crystal structure of La6TlCo, with properties calculated at the PBE level.

The calculation puts the energy of formation from the pure elements at -10.3 kJ per mole of atoms.

The structure belongs to space group C2/m (No. 12); the cell edges are 8.1755, 10.3055 and 6.5122 Å and the angles 90.00°, 105.25° and 90.00°. The distinct sites, in fractional coordinates, are La at (0.1090, 0.1952, 0.2879), La at (0.2167, 0.5000, 0.1051), Tl at (0.0000, 0.5000, 0.5000) and Co at (0.0000, 0.0000, 0.0000).